[1]
DFT (PBE) results for a geometry-optimized TiH3Ru structure.

Summary:
Space group   I4mm, No. 107
Total energy   -5.64 eV/atom
Volume   7.84 Å³/atom
Crystal system   tetragonal

abc: 2.986 2.986 4.878
angles: 107.82 107.82 90.00
Element x y z (fractional)
H 0.773 0.273 0.546
H 0.448 0.448 0.896
H 0.273 0.773 0.546
Ru 0.648 0.648 0.295
Ti 0.949 0.949 0.897

[2]
DFT (PBE) results for a geometry-optimized TiHRu3 structure.

Summary:
Relative energy among the computed polymorphs   0.000 eV per atom
Space group   C2/m, No. 12
Total energy   -8.03 eV/atom
Volume   11.87 Å³/atom
Crystal system   monoclinic

abc: 5.505 5.504 5.521
angles: 119.87 119.87 90.06
Element x y z (fractional)
Ti 0.622 0.429 0.694
Ti 0.149 0.956 0.747
Ru 0.139 0.445 0.221
Ru 0.140 0.448 0.730
Ru 0.632 0.445 0.221
Ru 0.632 0.941 0.220
Ru 0.631 0.938 0.711
Ru 0.140 0.941 0.220
H 0.886 0.193 0.221
H 0.886 0.693 0.220

[3]
DFT (PBE) results for a geometry-optimized Ti2HRu structure.

Summary:
Relative energy among the computed polymorphs   0.184 eV per atom
Space group   P4/mmm, No. 123
Total energy   -7.21 eV/atom
Volume   12.58 Å³/atom
Crystal system   tetragonal

abc: 2.916 2.916 5.922
angles: 90.00 90.00 90.00
Element x y z (fractional)
Ru 0.500 0.500 0.500
Ti 0.000 0.000 0.774
Ti 0.000 0.000 0.226
H 0.500 0.500 0.000

[4]
DFT (PBE) results for a geometry-optimized Ti3HRu structure.

Summary:
Relative energy among the computed polymorphs   0.000 eV per atom
Space group   Pm-3m, No. 221
Total energy   -7.51 eV/atom
Volume   13.04 Å³/atom
Crystal system   cubic

abc: 4.025 4.025 4.025
angles: 90.00 90.00 90.00
Element x y z (fractional)
Ti 0.000 0.000 0.500
Ti 0.000 0.500 0.000
Ti 0.500 0.000 0.000
H 0.000 0.000 0.000
Ru 0.500 0.500 0.500

[5]
DFT (PBE) results for a geometry-optimized Ti2HRu structure.

Summary:
Relative energy among the computed polymorphs   0.351 eV per atom
Space group   Fm-3m, No. 225
Total energy   -7.04 eV/atom
Volume   13.34 Å³/atom
Crystal system   cubic

abc: 4.226 4.226 4.226
angles: 60.00 60.00 60.00
Element x y z (fractional)
Ti 0.750 0.750 0.750
Ti 0.250 0.250 0.250
H 0.000 0.000 0.000
Ru 0.500 0.500 0.500

[6]
DFT (PBE) results for a geometry-optimized Ti2HRu structure.

Summary:
Relative energy among the computed polymorphs   0.000 eV per atom
Space group   R-3m, No. 166
Total energy   -7.39 eV/atom
Volume   12.16 Å³/atom
Crystal system   trigonal

abc: 2.973 2.973 6.582
angles: 76.95 76.95 60.00
Element x y z (fractional)
Ti 0.770 0.770 0.690
Ti 0.230 0.230 0.310
Ru 0.000 0.000 0.000
H 0.500 0.500 0.500

[7]
DFT (PBE) results for a geometry-optimized Ti2HRu structure.

Summary:
Relative energy among the computed polymorphs   0.067 eV per atom
Space group   I-42d, No. 122
Total energy   -7.33 eV/atom
Volume   12.78 Å³/atom
Crystal system   tetragonal

abc: 5.718 5.718 5.112
angles: 55.99 55.99 90.00
Element x y z (fractional)
H 0.250 0.750 0.500
H 0.500 0.500 0.000
Ru 0.750 0.250 0.500
Ru 0.000 0.000 0.000
Ti 0.375 0.456 0.750
Ti 0.875 0.794 0.750
Ti 0.206 0.625 0.250
Ti 0.544 0.125 0.250

[8]
DFT (PBE) results for a geometry-optimized Ti2TlHRu structure.

Summary:
Space group   P4/mmm, No. 123
Total energy   -5.32 eV/atom
Volume   22.78 Å³/atom
Crystal system   tetragonal

abc: 4.639 5.291 4.639
angles: 90.00 90.00 90.00
Element x y z (fractional)
Ru 0.000 0.000 0.000
H 0.500 0.500 0.500
Ti 0.500 0.000 0.000
Ti 0.000 0.000 0.500
Tl 0.000 0.500 0.000

[9]
DFT (PBE) results for a geometry-optimized TiVHRu2 structure.

Summary:
Relative energy among the computed polymorphs   0.000 eV per atom
Space group   P4/mmm, No. 123
Total energy   -8.00 eV/atom
Volume   11.91 Å³/atom
Crystal system   tetragonal

abc: 4.095 4.095 3.551
angles: 90.00 90.00 90.00
Element x y z (fractional)
Ru 0.500 0.000 0.000
Ru 0.000 0.500 0.000
Ti 0.500 0.500 0.500
H 0.000 0.000 0.000
V 0.000 0.000 0.500

[10]
DFT (PBE) results for a geometry-optimized TiVHRu2 structure.

Summary:
Relative energy among the computed polymorphs   0.029 eV per atom
Space group   P4/mmm, No. 123
Total energy   -7.97 eV/atom
Volume   11.91 Å³/atom
Crystal system   tetragonal

abc: 4.055 3.621 4.055
angles: 90.00 90.00 90.00
Element x y z (fractional)
Ru 0.500 0.000 0.000
Ru 0.000 0.000 0.500
V 0.500 0.500 0.500
Ti 0.000 0.500 0.000
H 0.000 0.000 0.000

[11]
DFT (PBE) results for a geometry-optimized Ti2HRuW structure.

Summary:
Space group   P4/mmm, No. 123
Total energy   -8.50 eV/atom
Volume   12.90 Å³/atom
Crystal system   tetragonal

abc: 4.362 4.362 3.390
angles: 90.00 90.00 90.00
Element x y z (fractional)
Ru 0.000 0.000 0.500
Ti 0.500 0.000 0.000
Ti 0.000 0.500 0.000
H 0.000 0.000 0.000
W 0.500 0.500 0.500

[12]
DFT (PBE) results for a geometry-optimized YTiH2Ru structure.

Summary:
Space group   P4/mmm, No. 123
Total energy   -5.71 eV/atom
Volume   14.37 Å³/atom
Crystal system   tetragonal

abc: 3.959 4.583 3.959
angles: 90.00 90.00 90.00
Element x y z (fractional)
H 0.000 0.000 0.500
H 0.500 0.000 0.000
Ti 0.000 0.500 0.000
Ru 0.000 0.000 0.000
Y 0.500 0.500 0.500